Below is crystalline WSe3F at its relaxed geometry, with properties calculated at the GGA+U level.

Values from the calculation:
Density = 7.26 g cm⁻³
Excess energy over the best structure of this formula in the dataset = 535 meV/atom
D(E_F) = 4.90 states/eV/cell
SG = Pm-3m

Cell: 4.6501 4.6501 4.6501 Å, 90.00 90.00 90.00°
With the nearest neighbours (Å) after each atom.
Atoms (fractional coordinates):
Se1 0.0000 0.5000 0.0000  2 F 2.33
Se2 0.5000 0.0000 0.0000  2 F 2.33
Se3 0.0000 0.0000 0.5000  2 F 2.33
F1 0.0000 0.0000 0.0000  6 Se 2.33
W1 0.5000 0.5000 0.5000  12 Se 3.29

---

Below is crystalline W4SeF2 at its relaxed geometry, with properties calculated at the GGA+U level.

Values from the calculation:
Density = 9.60 g cm⁻³
Calculated total energy = -4.00 eV/atom
D(E_F) = 2.13 states/eV/cell
SG = I4/mmm

Cell: 4.9578 4.9578 6.9459 Å, 69.09 69.09 90.00°
With the nearest neighbours (Å) after each atom.
Atoms (fractional coordinates):
W1 0.7733 0.7733 0.4533  1 F 2.09
W2 0.2267 0.2267 0.5467  1 F 2.09
W3 0.0000 0.5000 0.0000  2 Se 2.48, 4 F 2.75
W4 0.5000 0.0000 0.0000  2 Se 2.48, 4 F 2.75
F1 0.4006 0.4006 0.1989  1 W 2.09
F2 0.5994 0.5994 0.8011  1 W 2.09
Se1 0.0000 0.0000 0.0000  6 W 2.48-2.72